# 1
Here is a relaxed TaZnCu2 crystal from Alexandria. Energies are from PBE-GGA.

```
8
Lattice="4.3032 0.0000 0.0000 0.0000 4.3032 0.0000 0.0000 0.0000 6.0513" Properties=species:S:1:pos:R:3 pbc="T T T"
Ta 0.0000 0.0000 0.0000
Ta 2.1516 2.1516 3.0256
Zn 0.0000 2.1516 4.5384
Zn 2.1516 0.0000 1.5128
Cu 0.0000 0.0000 3.0256
Cu 0.0000 2.1516 1.5128
Cu 2.1516 0.0000 4.5384
Cu 2.1516 2.1516 0.0000
```

Values from the calculation:
The calculation puts the volume at 14.01 Å³ per atom. The energy of formation comes out at 163 meV per atom.



# 2
Here is a relaxed TaZn2Cu crystal from Alexandria. Energies are from PBE-GGA.

```
8
Lattice="2.7011 0.0000 0.0000 0.0000 4.7490 0.0000 0.0000 0.0000 9.3367" Properties=species:S:1:pos:R:3 pbc="T T T"
Ta 0.0000 0.0000 0.0000
Ta 1.3506 2.3745 4.6684
Zn 0.0000 2.3745 2.1584
Zn 0.0000 2.3745 7.1784
Zn 1.3506 0.0000 2.5100
Zn 1.3506 0.0000 6.8268
Cu 0.0000 0.0000 4.6684
Cu 1.3506 2.3745 0.0000
```

Values from the calculation:
The calculation puts the volume at 14.97 Å³ per atom. For the distance to the lowest polymorph of the same formula, the calculation gives 0.171 eV per atom. The energy of formation comes out at 126 meV per atom.



# 3
Here is a relaxed TaZn2Cu crystal from Alexandria. Energies are from PBE-GGA.

```
8
Lattice="2.6598 0.0000 0.0000 0.0000 4.7954 0.0000 0.0000 0.0000 9.4704" Properties=species:S:1:pos:R:3 pbc="T T T"
Ta 0.0000 0.0000 0.0000
Ta 1.3299 2.3977 4.7352
Zn 0.0000 0.0000 4.8484
Zn 0.0000 2.3977 7.2418
Zn 1.3299 0.0000 2.5066
Zn 1.3299 2.3977 0.1132
Cu 0.0000 2.3977 2.3247
Cu 1.3299 0.0000 7.0599
```

Values from the calculation:
The calculation puts the volume at 15.10 Å³ per atom. For the distance to the lowest polymorph of the same formula, the calculation gives 0.202 eV per atom. The energy of formation comes out at 157 meV per atom.



# 4
Here is a relaxed TaZn2Cu crystal from Alexandria. Energies are from PBE-GGA.

```
8
Lattice="5.6284 0.0000 0.0000 0.0000 8.3156 0.0000 0.0000 0.0000 2.6057" Properties=species:S:1:pos:R:3 pbc="T T T"
Ta 0.0000 0.0000 0.0000
Ta 2.8142 4.1578 0.0000
Zn 1.4071 2.0789 1.3028
Zn 1.4071 6.2367 1.3028
Zn 4.2213 2.0789 1.3028
Zn 4.2213 6.2367 1.3028
Cu 0.0000 4.1578 0.0000
Cu 2.8142 0.0000 0.0000
```

Values from the calculation:
The calculation puts the volume at 15.24 Å³ per atom. For the distance to the lowest polymorph of the same formula, the calculation gives 0.167 eV per atom. The energy of formation comes out at 123 meV per atom.



# 5
Here is a relaxed TaZn2Cu crystal from Alexandria. Energies are from PBE-GGA.

```
4
Lattice="3.9087 0.0000 0.0000 0.0000 3.9087 0.0000 0.0000 0.0000 3.8762" Properties=species:S:1:pos:R:3 pbc="T T T"
Ta 0.0000 0.0000 0.0000
Zn 0.0000 1.9543 1.9381
Zn 1.9543 0.0000 1.9381
Cu 1.9543 1.9543 0.0000
```

Values from the calculation:
The calculation puts the volume at 14.80 Å³ per atom. For the distance to the lowest polymorph of the same formula, the calculation gives 0.116 eV per atom. The energy of formation comes out at 71 meV per atom.



# 6
Here is a relaxed TaZnCu2 crystal from Alexandria. Energies are from PBE-GGA.

```
16
Lattice="6.8426 0.0000 0.0000 0.0000 6.8426 0.0000 0.0000 0.0000 5.2521" Properties=species:S:1:pos:R:3 pbc="T T T"
Ta 0.0000 0.0000 0.0000
Ta 0.0000 3.4213 1.3130
Ta 3.4213 0.0000 3.9391
Ta 3.4213 3.4213 2.6261
Zn 0.0000 0.0000 2.6261
Zn 0.0000 3.4213 3.9391
Zn 3.4213 0.0000 1.3130
Zn 3.4213 3.4213 0.0000
Cu 1.5750 1.7107 3.2826
Cu 1.7107 4.9963 4.5956
Cu 1.7107 5.2676 1.9696
Cu 1.8463 1.7107 0.6565
Cu 4.9963 5.1320 0.6565
Cu 5.1320 1.5750 1.9696
Cu 5.1320 1.8463 4.5956
Cu 5.2676 5.1320 3.2826
```

Values from the calculation:
The calculation puts the volume at 15.37 Å³ per atom. The energy of formation comes out at 540 meV per atom.